Entry 1:
Crystalline Sc3AuS at its relaxed geometry, computed with GGA-PBE.

Values from the calculation:
polymorph energy (0 for the lowest one) = 0 kJ/mol of formula units
space group = Pm-3m, No. 221
total magnetic moment = 0.00 μB per cell

abc: 4.757 4.757 4.757
angles: 90.00 90.00 90.00
Element x y z (fractional)
Sc 0.000 0.000 0.500
Sc 0.000 0.500 0.000
Sc 0.500 0.000 0.000
Au 0.500 0.500 0.500
S 0.000 0.000 0.000


Entry 2:
Crystalline ScAuS2 at its relaxed geometry, computed with GGA-PBE.

Values from the calculation:
polymorph energy (0 for the lowest one) = 27 kJ/mol of formula units
space group = C2/c, No. 15
total magnetic moment = 0.00 μB per cell

abc: 8.028 8.028 12.775
angles: 107.73 107.73 64.18
Element x y z (fractional)
Sc 0.103 0.166 0.649
Sc 0.109 0.647 0.623
Sc 0.166 0.103 0.149
Sc 0.353 0.891 0.877
Sc 0.647 0.109 0.123
Sc 0.834 0.897 0.851
Sc 0.891 0.353 0.377
Sc 0.897 0.834 0.351
Au 0.148 0.392 0.893
Au 0.392 0.148 0.393
Au 0.397 0.602 0.396
Au 0.398 0.603 0.104
Au 0.602 0.397 0.896
Au 0.603 0.398 0.604
Au 0.608 0.852 0.607
Au 0.852 0.608 0.107
S 0.015 0.985 0.750
S 0.032 0.461 0.258
S 0.187 0.813 0.511
S 0.187 0.813 0.989
S 0.201 0.295 0.526
S 0.295 0.201 0.026
S 0.437 0.563 0.750
S 0.461 0.032 0.758
S 0.539 0.968 0.242
S 0.563 0.437 0.250
S 0.705 0.799 0.974
S 0.799 0.705 0.474
S 0.813 0.187 0.011
S 0.813 0.187 0.489
S 0.968 0.539 0.742
S 0.985 0.015 0.250


Entry 3:
Crystalline ScAuS2 at its relaxed geometry, computed with GGA-PBE.

Values from the calculation:
polymorph energy (0 for the lowest one) = 89 kJ/mol of formula units
space group = I-42d, No. 122
total magnetic moment = 0.00 μB per cell

abc: 5.614 5.614 12.124
angles: 90.00 90.00 90.00
Element x y z (fractional)
Sc 0.000 0.000 0.000
Sc 0.000 0.500 0.250
Sc 0.500 0.000 0.750
Sc 0.500 0.500 0.500
Au 0.000 0.000 0.500
Au 0.000 0.500 0.750
Au 0.500 0.000 0.250
Au 0.500 0.500 0.000
S 0.240 0.250 0.125
S 0.250 0.740 0.375
S 0.250 0.760 0.875
S 0.260 0.250 0.625
S 0.740 0.750 0.625
S 0.750 0.240 0.875
S 0.750 0.260 0.375
S 0.760 0.750 0.125


Entry 4:
Crystalline ScAuS2 at its relaxed geometry, computed with GGA-PBE.

Values from the calculation:
polymorph energy (0 for the lowest one) = 211 kJ/mol of formula units
space group = Fm-3m, No. 225
total magnetic moment = 0.00 μB per cell

abc: 6.551 6.551 6.551
angles: 90.00 90.00 90.00
Element x y z (fractional)
Sc 0.000 0.000 0.000
Sc 0.000 0.500 0.500
Sc 0.500 0.000 0.500
Sc 0.500 0.500 0.000
Au 0.000 0.000 0.500
Au 0.000 0.500 0.000
Au 0.500 0.000 0.000
Au 0.500 0.500 0.500
S 0.250 0.250 0.250
S 0.250 0.250 0.750
S 0.250 0.750 0.250
S 0.250 0.750 0.750
S 0.750 0.250 0.250
S 0.750 0.250 0.750
S 0.750 0.750 0.250
S 0.750 0.750 0.750


Entry 5:
Crystalline ScAuS2 at its relaxed geometry, computed with GGA-PBE.

Values from the calculation:
polymorph energy (0 for the lowest one) = 37 kJ/mol of formula units
space group = P2_1/c, No. 14
total magnetic moment = 0.00 μB per cell

abc: 6.785 3.763 15.428
angles: 90.00 115.98 90.00
Element x y z (fractional)
Sc 0.208 0.250 0.458
Sc 0.208 0.250 0.958
Sc 0.792 0.750 0.042
Sc 0.792 0.750 0.542
Au 0.248 0.000 0.250
Au 0.248 0.500 0.750
Au 0.752 0.000 0.750
Au 0.752 0.500 0.250
S 0.091 0.245 0.597
S 0.091 0.255 0.097
S 0.397 0.745 0.403
S 0.397 0.755 0.903
S 0.603 0.245 0.097
S 0.603 0.255 0.597
S 0.909 0.745 0.903
S 0.909 0.755 0.403


Entry 6:
Crystalline Sc7AuS5 at its relaxed geometry, computed with GGA-PBE.

Values from the calculation:
electronic total energy = -6.85 eV/atom
space group = Cmcm, No. 63
total magnetic moment = 0.00 μB per cell

abc: 6.362 6.362 22.034
angles: 90.00 90.00 146.62
Element x y z (fractional)
Sc 0.022 0.978 0.750
Sc 0.138 0.862 0.036
Sc 0.138 0.862 0.464
Sc 0.316 0.684 0.675
Sc 0.316 0.684 0.825
Sc 0.412 0.588 0.108
Sc 0.412 0.588 0.392
Sc 0.588 0.412 0.608
Sc 0.588 0.412 0.892
Sc 0.684 0.316 0.175
Sc 0.684 0.316 0.325
Sc 0.862 0.138 0.536
Sc 0.862 0.138 0.964
Sc 0.978 0.022 0.250
Au 0.301 0.699 0.250
Au 0.699 0.301 0.750
S 0.048 0.952 0.141
S 0.048 0.952 0.359
S 0.225 0.775 0.571
S 0.225 0.775 0.929
S 0.500 0.500 0.000
S 0.500 0.500 0.500
S 0.775 0.225 0.071
S 0.775 0.225 0.429
S 0.952 0.048 0.641
S 0.952 0.048 0.859


Entry 7:
Crystalline ScAuS2 at its relaxed geometry, computed with GGA-PBE.

Values from the calculation:
polymorph energy (0 for the lowest one) = 70 kJ/mol of formula units
space group = C2/m, No. 12
total magnetic moment = 0.00 μB per cell

abc: 6.687 3.747 6.500
angles: 90.00 102.76 90.00
Element x y z (fractional)
Sc 0.000 0.000 0.000
Sc 0.500 0.500 0.000
Au 0.000 0.000 0.500
Au 0.500 0.500 0.500
S 0.126 0.500 0.777
S 0.374 0.000 0.223
S 0.626 0.000 0.777
S 0.874 0.500 0.223


Entry 8:
Crystalline ScAuS at its relaxed geometry, computed with GGA-PBE.

Values from the calculation:
electronic total energy = -5.68 eV/atom
space group = R-3m, No. 166
total magnetic moment = 0.00 μB per cell

abc: 12.131 12.131 12.131
angles: 17.68 17.68 17.68
Element x y z (fractional)
Sc 0.083 0.083 0.083
Sc 0.917 0.917 0.917
Au 0.361 0.361 0.361
Au 0.639 0.639 0.639
S 0.216 0.216 0.216
S 0.784 0.784 0.784


Entry 9:
Crystalline ScAuS2 at its relaxed geometry, computed with GGA-PBE.

Values from the calculation:
polymorph energy (0 for the lowest one) = 15 kJ/mol of formula units
space group = P2/c, No. 13
total magnetic moment = 0.00 μB per cell

abc: 3.853 9.019 6.308
angles: 90.00 125.93 90.00
Element x y z (fractional)
Sc 0.000 0.114 0.250
Sc 0.000 0.886 0.750
Au 0.500 0.500 0.000
Au 0.500 0.500 0.500
S 0.500 0.080 0.750
S 0.500 0.307 0.250
S 0.500 0.693 0.750
S 0.500 0.920 0.250


Entry 10:
Crystalline Sc2AuS at its relaxed geometry, computed with GGA-PBE.

Values from the calculation:
electronic total energy = -6.18 eV/atom
space group = R3m, No. 160
total magnetic moment = 0.00 μB per cell

abc: 3.576 3.576 21.682
angles: 90.00 90.00 120.00
Element x y z (fractional)
Sc 0.000 0.000 0.000
Sc 0.000 0.000 0.157
Sc 0.333 0.667 0.667
Sc 0.333 0.667 0.823
Sc 0.667 0.333 0.333
Sc 0.667 0.333 0.490
Au 0.000 0.000 0.580
Au 0.333 0.667 0.247
Au 0.667 0.333 0.913
S 0.000 0.000 0.410
S 0.333 0.667 0.076
S 0.667 0.333 0.743


Entry 11:
Crystalline ScAuS2 at its relaxed geometry, computed with GGA-PBE.

Values from the calculation:
polymorph energy (0 for the lowest one) = 62 kJ/mol of formula units
space group = Pna2_1, No. 33
total magnetic moment = 0.00 μB per cell

abc: 7.207 8.189 6.725
angles: 90.00 90.00 90.00
Element x y z (fractional)
Sc 0.084 0.117 0.000
Sc 0.416 0.617 0.500
Sc 0.584 0.383 0.000
Sc 0.916 0.883 0.500
Au 0.219 0.630 0.884
Au 0.281 0.130 0.384
Au 0.719 0.870 0.884
Au 0.781 0.370 0.384
S 0.053 0.137 0.631
S 0.077 0.621 0.570
S 0.423 0.121 0.070
S 0.447 0.637 0.131
S 0.553 0.363 0.631
S 0.577 0.879 0.570
S 0.923 0.379 0.070
S 0.947 0.863 0.131


Entry 12:
Crystalline Sc2AuS at its relaxed geometry, computed with GGA-PBE.

Values from the calculation:
electronic total energy = -5.96 eV/atom
space group = I-42d, No. 122
total magnetic moment = 0.00 μB per cell

abc: 6.939 6.939 7.216
angles: 90.00 90.00 90.00
Element x y z (fractional)
Sc 0.229 0.250 0.125
Sc 0.250 0.729 0.375
Sc 0.250 0.771 0.875
Sc 0.271 0.250 0.625
Sc 0.729 0.750 0.625
Sc 0.750 0.229 0.875
Sc 0.750 0.271 0.375
Sc 0.771 0.750 0.125
Au 0.000 0.000 0.500
Au 0.000 0.500 0.750
Au 0.500 0.000 0.250
Au 0.500 0.500 0.000
S 0.000 0.000 0.000
S 0.000 0.500 0.250
S 0.500 0.000 0.750
S 0.500 0.500 0.500